1.
# Li2PCl, PBEsol geometry, DFT meta-GGA SCAN
data_Li2PCl
_space_group_name_H-M_alt 'I 4/m m m'
_space_group_IT_number 139
_space_group_name_Hall '-I 4 2'
_cell_length_a 4.151
_cell_length_b 4.151
_cell_length_c 7.286
_cell_angle_alpha 90.00
_cell_angle_beta 90.00
_cell_angle_gamma 90.00
loop_
_atom_site_label
_atom_site_type_symbol
_atom_site_fract_x
_atom_site_fract_y
_atom_site_fract_z
Li1 Li 0.000 0.500 0.250
P1 P 0.000 0.000 0.000
Cl1 Cl 0.000 0.000 0.500
# Relative energy among the computed polymorphs in eV per atom: 0.4937
# Formation energy without anion corrections in eV per atom: -0.47

2.
# CoPdIO2, PBEsol geometry, DFT meta-GGA SCAN
data_CoPdIO2
_space_group_name_H-M_alt 'P 4/m m m'
_space_group_IT_number 123
_space_group_name_Hall '-P 4 2'
_cell_length_a 3.749
_cell_length_b 3.749
_cell_length_c 6.728
_cell_angle_alpha 90.00
_cell_angle_beta 90.00
_cell_angle_gamma 90.00
loop_
_atom_site_label
_atom_site_type_symbol
_atom_site_fract_x
_atom_site_fract_y
_atom_site_fract_z
Co1 Co 0.000 0.000 0.000
Pd1 Pd 0.500 0.500 0.500
I1 I 0.500 0.500 0.000
O1 O 0.000 0.500 0.500
# Formation energy without anion corrections in eV per atom: 0.22

3.
# InSi2Mo, PBEsol geometry, DFT meta-GGA SCAN
data_InSi2Mo
_space_group_name_H-M_alt 'P 4/m m m'
_space_group_IT_number 123
_space_group_name_Hall '-P 4 2'
_cell_length_a 4.335
_cell_length_b 4.335
_cell_length_c 3.345
_cell_angle_alpha 90.00
_cell_angle_beta 90.00
_cell_angle_gamma 90.00
loop_
_atom_site_label
_atom_site_type_symbol
_atom_site_fract_x
_atom_site_fract_y
_atom_site_fract_z
In1 In 0.000 0.000 0.000
Si1 Si 0.000 0.500 0.500
Mo1 Mo 0.500 0.500 0.000
# Formation energy without anion corrections in eV per atom: 0.50

4.
# Al2HgPt, PBEsol geometry, DFT meta-GGA SCAN
data_Al2HgPt
_space_group_name_H-M_alt 'F -4 3 m'
_space_group_IT_number 216
_space_group_name_Hall 'F -4 2 3'
_cell_length_a 6.464
_cell_length_b 6.464
_cell_length_c 6.464
_cell_angle_alpha 90.00
_cell_angle_beta 90.00
_cell_angle_gamma 90.00
loop_
_atom_site_label
_atom_site_type_symbol
_atom_site_fract_x
_atom_site_fract_y
_atom_site_fract_z
Al1 Al 0.000 0.000 0.000
Al2 Al 0.250 0.250 0.250
Hg1 Hg 0.250 0.250 0.750
Pt1 Pt 0.000 0.000 0.500
# Uncorrected energy in eV/atom: -38.518

5.
# BaNiIr2, PBEsol geometry, DFT meta-GGA SCAN
data_BaNiIr2
_space_group_name_H-M_alt 'I 4/m m m'
_space_group_IT_number 139
_space_group_name_Hall '-I 4 2'
_cell_length_a 4.041
_cell_length_b 4.041
_cell_length_c 8.687
_cell_angle_alpha 90.00
_cell_angle_beta 90.00
_cell_angle_gamma 90.00
loop_
_atom_site_label
_atom_site_type_symbol
_atom_site_fract_x
_atom_site_fract_y
_atom_site_fract_z
Ba1 Ba 0.000 0.000 0.000
Ni1 Ni 0.000 0.000 0.500
Ir1 Ir 0.000 0.500 0.250
# Uncorrected energy in eV/atom: -48.495

6.
# Ta5Co, PBEsol geometry, DFT meta-GGA SCAN
data_Ta5Co
_space_group_name_H-M_alt 'P -6 2 m'
_space_group_IT_number 189
_space_group_name_Hall 'P -6 -2'
_cell_length_a 4.8690
_cell_length_b 4.8690
_cell_length_c 4.9035
_cell_angle_alpha 90.00
_cell_angle_beta 90.00
_cell_angle_gamma 120.00
loop_
_atom_site_label
_atom_site_type_symbol
_atom_site_fract_x
_atom_site_fract_y
_atom_site_fract_z
Ta1 Ta 0.0000 0.6731 0.0000
Ta2 Ta 0.3333 0.6667 0.5000
Co1 Co 0.0000 0.0000 0.5000
# Relative energy among the computed polymorphs in eV per atom: 0.3946